# TlRe2Cl

A relaxed TlRe2Cl crystal (PBE, Alexandria via LeMat-Bulk).

Its spin magnetization is 0.00 μB per atom. The calculation puts the total energy at -6.8527 eV per atom.

The space group is R3m (No. 160, hexagonal axes) and the conventional cell measures 2.9731, 2.9731 and 31.1560 Å, with angles of 90.00, 90.00 and 120.00 degrees. The distinct sites, in fractional coordinates, are Tl at (0.0000, 0.0000, 0.0000), Re at (0.0000, 0.0000, 0.2488), Re at (0.0000, 0.0000, 0.5175) and Cl at (0.0000, 0.0000, 0.7899).